1.
This record from the Alexandria database describes a relaxed structure of VTeOsI2. The functional is PBE.

Computed properties:
Calculated total energy in eV for the cell shown: -19.865
E_form (uncorrected) in kJ/mol of atoms: 129.8

Cell lengths 5.5050, 5.5050, 5.0484 Å; angles 90.00, 90.00, 90.00 degrees
With the nearest neighbours (Å) after each atom.
Space group P4/mmm (No. 123)
Inequivalent atoms, fractional coordinates:
V (0.0000, 0.0000, 0.0000)  8 I 3.73, 4 Te 3.89
Te (0.5000, 0.5000, 0.0000)  2 Os 2.52
Os (0.5000, 0.5000, 0.5000)  2 Te 2.52, 4 I 2.75
I (0.0000, 0.5000, 0.5000)  2 Os 2.75

---

2.
This record from the Alexandria database describes a relaxed structure of Zn2GaCu2Ni5. The functional is PBE.

Computed properties:
Energy of formation from the pure elements in eV/f.u.: -0.21
Calculated total energy in eV for the cell shown: -85.770

Cell lengths 8.2077, 8.2077, 3.7369 Å; angles 90.00, 90.00, 90.00 degrees
With the nearest neighbours (Å) after each atom.
Space group P4/mbm (No. 127)
Inequivalent atoms, fractional coordinates:
Zn (0.1683, 0.3317, 0.0000)  3 Cu 2.38-2.44
Ga (0.0000, 0.0000, 0.0000)  8 Ni 2.54
Cu (0.1263, 0.6263, 0.0000)  6 Ni 2.38-2.43, 3 Zn 2.38-2.44
Ni (0.0000, 0.5000, 0.5000)  4 Cu 2.38
Ni (0.0947, 0.8128, 0.5000)  2 Cu 2.43, 4 Ni 2.44-2.68, 2 Ga 2.54, 2 Zn 2.70

---

3.
This record from the Alexandria database describes a relaxed structure of TbNd5Er2Sc. The functional is PBE.

Computed properties:
Energy of formation from the pure elements in eV/f.u.: 1.14
Calculated total energy in eV for the cell shown: -171.141

Cell lengths 5.3653, 21.8595, 10.2555 Å; angles 90.00, 90.00, 90.00 degrees
With the nearest neighbours (Å) after each atom.
Space group Cmc2_1 (No. 36)
Inequivalent atoms, fractional coordinates:
Tb (0.0000, 0.1012, 0.0000)  6 Nd 3.25-3.49
Nd (0.0000, 0.9998, 0.2499)  2 Tb 3.38-3.39, 4 Er 3.69, 6 Nd 3.71-3.78
Nd (0.0000, 0.1266, 0.5002)  1 Sc 3.49, 4 Er 3.74, 6 Nd 3.77-3.84
Nd (0.0000, 0.2207, 0.1886)  2 Nd 3.23, 1 Tb 3.25, 3 Sc 3.31-3.51, 2 Er 3.59
Nd (0.0000, 0.2214, 0.8132)  2 Nd 3.23, 1 Tb 3.25, 3 Sc 3.31-3.50, 2 Er 3.59
Nd (0.0000, 0.4989, 0.0000)  2 Tb 3.49, 4 Er 3.60-3.61, 6 Nd 3.71-3.84
Er (0.0000, 0.3840, 0.2526)  1 Sc 3.32, 7 Nd 3.59-3.69, 2 Tb 3.71
Er (0.0000, 0.3846, 0.7474)  1 Sc 3.32, 7 Nd 3.59-3.69, 2 Tb 3.71
Sc (0.0000, 0.2862, 0.5009)  7 Nd 3.31-3.51, 2 Er 3.32, 2 Tb 3.64

---

4.
This record from the Alexandria database describes a relaxed structure of LaZr2Br. The functional is PBE.

Computed properties:
Calculated total energy in eV for the cell shown: -24.731
E_form (uncorrected) in kJ/mol of atoms: -25.0

Cell lengths 3.3715, 3.3715, 9.2472 Å; angles 90.00, 90.00, 90.00 degrees
With the nearest neighbours (Å) after each atom.
Space group P4mm (No. 99)
Inequivalent atoms, fractional coordinates:
La (0.0000, 0.0000, 0.0000)  4 La 3.37, 4 Zr 3.46, 4 Br 3.52
Zr (0.0000, 0.0000, 0.4936)  8 Zr 3.15-3.37, 4 Br 3.17
Zr (0.5000, 0.5000, 0.2713)  8 Zr 3.15-3.37, 4 La 3.46
Br (0.5000, 0.5000, 0.7195)  4 Zr 3.17, 4 Br 3.37, 4 La 3.52